Entry 1:
Below is a relaxed Hf8ReBi2 crystal, with properties calculated at the PBE level.

Structure (POSCAR):
```
Hf8ReBi2
1.0
4.8030 0.0000 0.0000
0.0000 5.9248 -0.1625
-2.4015 -2.6403 8.9459
Hf Re Bi
8 1 2
Direct
0.4183 0.5066 0.8365
0.6452 0.0590 0.2904
0.7701 0.6495 0.5402
0.9788 0.2278 0.9576
0.2299 0.3505 0.4598
0.3548 0.9410 0.7096
0.5817 0.4934 0.1635
0.0212 0.7722 0.0424
0.5000 0.0000 0.0000
0.8178 0.2128 0.6356
0.1822 0.7872 0.3644
```

## Properties
As for the space group: C2/m (12). Its energy of formation is 33 meV/atom. As for the spin magnetization: 0.00 μB per atom.

Entry 2:
Below is a relaxed Hf12ReBi6 crystal, with properties calculated at the PBE level.

Structure (POSCAR):
```
Hf12ReBi6
1.0
8.1188 -0.2666 -0.3193
-1.4943 7.9845 -0.3193
-1.4943 -1.7410 7.7990
Hf Re Bi
12 1 6
Direct
0.7769 0.6031 0.4998
0.4998 0.7769 0.6031
0.6031 0.4998 0.7769
0.2231 0.3969 0.5002
0.5002 0.2231 0.3969
0.3969 0.5002 0.2231
0.0462 0.0030 0.3213
0.9970 0.6787 0.9538
0.6787 0.9538 0.9970
0.9538 0.9970 0.6787
0.0030 0.3213 0.0462
0.3213 0.0462 0.0030
0.0000 0.0000 0.0000
0.6524 0.8941 0.3355
0.6645 0.3476 0.1059
0.1059 0.6645 0.3476
0.3476 0.1059 0.6645
0.3355 0.6524 0.8941
0.8941 0.3355 0.6524
```

## Properties
As for the space group: R-3 (148). Its energy of formation is 178 meV/atom. As for the spin magnetization: 0.00 μB per atom.

Entry 3:
Below is a relaxed HfReBi2 crystal, with properties calculated at the PBE level.

Structure (POSCAR):
```
HfReBi2
1.0
-0.2139 -1.4184 4.1071
1.7813 -3.7793 -1.2125
10.1316 1.2271 3.2555
Re Hf Bi
2 2 4
Direct
0.0000 0.0000 0.0000
0.7500 0.2500 0.5000
0.5000 0.5000 0.0000
0.2500 0.7500 0.5000
0.6331 0.1250 0.2500
0.1169 0.6250 0.2500
0.3750 0.3669 0.7500
0.8750 0.8831 0.7500
```

## Properties
As for the space group: I-42d (122). The relative energy among the computed polymorphs comes out at 188 meV/atom. Its energy of formation is 802 meV/atom. As for the spin magnetization: 0.00 μB per atom.

Entry 4:
Below is a relaxed Hf5ReBi crystal, with properties calculated at the PBE level.

Structure (POSCAR):
```
Hf5ReBi
1.0
5.3010 -0.7575 -0.1372
0.9634 5.2675 -0.1372
2.3593 1.6985 10.6781
Hf Re Bi
10 2 2
Direct
0.9315 0.5444 0.1243
0.2169 0.5086 0.5672
0.5444 0.9315 0.6243
0.9898 0.0102 0.2500
0.4914 0.7831 0.9328
0.5086 0.2169 0.0672
0.0102 0.9898 0.7500
0.4556 0.0685 0.3757
0.7831 0.4914 0.4328
0.0685 0.4556 0.8757
0.0000 0.0000 0.0000
0.0000 0.0000 0.5000
0.3900 0.6100 0.2500
0.6100 0.3900 0.7500
```

## Properties
As for the space group: C2/c (15). Its energy of formation is 73 meV/atom. As for the spin magnetization: 0.00 μB per atom.